Model A:
This record from Alexandria describes YScTe2 after structural relaxation. The functional is PBE-GGA.

Lattice parameters (Å, degrees): 4.158 4.158 6.370 90.00 90.00 90.00
Fractional positions:
Sc 0.500 0.500 0.806
Te 0.000 0.000 0.918
Te 0.500 0.500 0.334
Y 0.000 0.000 0.442

Output
Calculated density (g cm⁻³): 5.87

---

Model B:
This record from Alexandria describes YScTe2 after structural relaxation. The functional is PBE-GGA.

Lattice parameters (Å, degrees): 6.709 6.709 8.202 65.86 65.86 90.00
Fractional positions:
Te 0.375 0.394 0.750
Te 0.606 0.125 0.250
Te 0.144 0.625 0.250
Te 0.875 0.856 0.750
Y 0.000 0.000 0.000
Y 0.750 0.250 0.500
Sc 0.500 0.500 0.000
Sc 0.250 0.750 0.500

Output
Calculated density (g cm⁻³): 4.29

---

Model C:
This record from Alexandria describes YScTe2 after structural relaxation. The functional is PBE-GGA.

Lattice parameters (Å, degrees): 4.040 6.981 7.894 90.00 90.00 90.00
Fractional positions:
Y 0.201 0.812 0.858
Y 0.701 0.312 0.358
Te 0.201 0.151 0.614
Te 0.701 0.651 0.114
Te 0.701 0.651 0.602
Te 0.201 0.151 0.102
Sc 0.701 0.320 0.858
Sc 0.201 0.820 0.358

Output
Calculated density (g cm⁻³): 5.80

---

Model D:
This record from Alexandria describes YScTe2 after structural relaxation. The functional is PBE-GGA.

Lattice parameters (Å, degrees): 8.311 5.259 3.727 89.91 63.48 129.20
Fractional positions:
Y 0.000 0.500 0.500
Te 0.000 0.000 0.000
Te 0.500 0.000 0.500
Sc 0.500 0.500 0.000

Output
Calculated density (g cm⁻³): 6.27

---

So which one is most stable? That would be model A, about 0.7 kJ/mol of atoms below the next structure.

---

Model A:
This record from Alexandria describes YScTe2 after structural relaxation. The functional is PBE-GGA.

Lattice parameters (Å, degrees): 4.261 4.261 7.403 73.14 73.14 60.20
Fractional positions:
Te 0.995 0.995 0.015
Te 0.505 0.505 0.485
Y 0.750 0.750 0.750
Sc 0.250 0.250 0.250

Output
Calculated density (g cm⁻³): 5.88

---

Model B:
This record from Alexandria describes YScTe2 after structural relaxation. The functional is PBE-GGA.

Lattice parameters (Å, degrees): 4.134 4.134 7.796 74.62 74.62 60.00
Fractional positions:
Te 0.077 0.077 0.769
Te 0.255 0.255 0.234
Y 0.497 0.497 0.508
Sc 0.670 0.670 0.990

Output
Calculated density (g cm⁻³): 5.88

---

So which one is most stable? That would be model B, about 3.5 kJ/mol of atoms below the next structure.

---

Model A:
This record from Alexandria describes YSc2Te4 after structural relaxation. The functional is PBE-GGA.

Lattice parameters (Å, degrees): 4.144 7.164 14.472 90.00 90.00 106.81
Fractional positions:
Te 0.774 0.549 0.117
Te 0.960 0.919 0.750
Te 0.774 0.549 0.383
Te 0.500 0.000 0.500
Te 0.226 0.451 0.617
Te 0.500 0.000 0.000
Te 0.040 0.081 0.250
Te 0.226 0.451 0.883
Sc 0.871 0.743 0.934
Sc 0.871 0.743 0.566
Sc 0.129 0.257 0.434
Sc 0.129 0.257 0.066
Y 0.374 0.747 0.250
Y 0.626 0.253 0.750

Output
Calculated density (g cm⁻³): 5.57

---

Model B:
This record from Alexandria describes YSc2Te4 after structural relaxation. The functional is PBE-GGA.

Lattice parameters (Å, degrees): 5.855 5.855 8.283 69.30 69.30 90.00
Fractional positions:
Sc 0.608 0.608 0.784
Sc 0.392 0.392 0.216
Te 0.500 0.000 0.000
Te 0.792 0.792 0.417
Te 0.000 0.500 0.000
Te 0.208 0.208 0.583
Y 0.000 0.000 0.000

Output
Calculated density (g cm⁻³): 4.65

---

So which one is most stable? That would be model A, about 52.6 kJ/mol of atoms below the next structure.

---

Model A:
This record from Alexandria describes Y2ScTe4 after structural relaxation. The functional is PBE-GGA.

Lattice parameters (Å, degrees): 4.280 7.535 8.206 117.49 105.12 90.00
Fractional positions:
Sc 0.000 0.000 0.000
Te 0.114 0.788 0.228
Te 0.886 0.212 0.772
Te 0.623 0.284 0.245
Te 0.377 0.716 0.755
Y 0.743 0.757 0.486
Y 0.257 0.243 0.514

Output
Calculated density (g cm⁻³): 5.43

---

Model B:
This record from Alexandria describes Y2ScTe4 after structural relaxation. The functional is PBE-GGA.

Lattice parameters (Å, degrees): 4.148 7.441 14.810 90.00 90.00 106.19
Fractional positions:
Te 0.217 0.435 0.876
Te 0.783 0.565 0.124
Te 0.783 0.565 0.376
Te 0.500 0.000 0.000
Te 0.217 0.435 0.624
Te 0.500 0.000 0.500
Te 0.982 0.963 0.750
Te 0.018 0.037 0.250
Y 0.132 0.264 0.074
Y 0.132 0.264 0.426
Y 0.868 0.736 0.574
Y 0.868 0.736 0.926
Sc 0.367 0.734 0.250
Sc 0.633 0.266 0.750

Output
Calculated density (g cm⁻³): 5.55

---

So which one is most stable? That would be model A, about 9.0 kJ/mol of atoms below the next structure.

---

Model A:
This record from Alexandria describes YSc2Te2 after structural relaxation. The functional is PBE-GGA.

Lattice parameters (Å, degrees): 6.063 6.063 6.063 126.26 126.26 79.45
Fractional positions:
Te 0.250 0.750 0.500
Te 0.750 0.250 0.500
Sc 0.343 0.343 0.000
Sc 0.657 0.657 0.000
Y 0.000 0.000 0.000

Output
Calculated density (g cm⁻³): 5.15

---

Model B:
This record from Alexandria describes YSc2Te2 after structural relaxation. The functional is PBE-GGA.

Lattice parameters (Å, degrees): 8.080 8.080 3.812 90.00 90.00 90.00
Fractional positions:
Sc 0.148 0.648 0.500
Sc 0.352 0.148 0.500
Sc 0.648 0.852 0.500
Sc 0.852 0.352 0.500
Te 0.852 0.648 0.000
Te 0.148 0.352 0.000
Te 0.648 0.148 0.000
Te 0.352 0.852 0.000
Y 0.000 0.000 0.000
Y 0.500 0.500 0.000

Output
Calculated density (g cm⁻³): 5.79

---

So which one is most stable? That would be model B, about 33.6 kJ/mol of atoms below the next structure.

---

Model A:
This record from Alexandria describes Sc2ZnTe2 after structural relaxation. The functional is PBE-GGA.

Lattice parameters (Å, degrees): 7.837 7.837 3.875 90.00 90.00 90.00
Fractional positions:
Te 0.346 0.154 0.500
Te 0.654 0.846 0.500
Te 0.154 0.654 0.500
Te 0.846 0.346 0.500
Sc 0.647 0.147 0.000
Sc 0.353 0.853 0.000
Sc 0.147 0.353 0.000
Sc 0.853 0.647 0.000
Zn 0.000 0.000 0.000
Zn 0.500 0.500 0.000

Output
Calculated density (g cm⁻³): 5.73

---

Model B:
This record from Alexandria describes Sc2ZnTe2 after structural relaxation. The functional is PBE-GGA.

Lattice parameters (Å, degrees): 8.026 8.026 3.734 90.00 90.00 90.00
Fractional positions:
Sc 0.355 0.145 0.500
Sc 0.645 0.855 0.500
Sc 0.855 0.355 0.500
Sc 0.145 0.645 0.500
Zn 0.000 0.000 0.000
Zn 0.500 0.500 0.000
Te 0.151 0.349 0.000
Te 0.849 0.651 0.000
Te 0.651 0.151 0.000
Te 0.349 0.849 0.000

Output
Calculated density (g cm⁻³): 5.67

---

So which one is most stable? That would be model A, about 10.8 kJ/mol of atoms below the next structure.

---

Model A:
This record from Alexandria describes ScZnTe3 after structural relaxation. The functional is PBE-GGA.

Lattice parameters (Å, degrees): 5.264 5.264 5.264 90.00 90.00 90.00
Fractional positions:
Sc 0.500 0.500 0.500
Te 0.000 0.500 0.000
Te 0.500 0.000 0.000
Te 0.000 0.000 0.500
Zn 0.000 0.000 0.000

Output
Calculated density (g cm⁻³): 5.61

---

Model B:
This record from Alexandria describes ScZnTe3 after structural relaxation. The functional is PBE-GGA.

Lattice parameters (Å, degrees): 5.566 5.566 5.566 90.00 90.00 90.00
Fractional positions:
Te 0.000 0.000 0.500
Te 0.000 0.500 0.000
Te 0.500 0.000 0.000
Sc 0.000 0.000 0.000
Zn 0.500 0.500 0.500

Output
Calculated density (g cm⁻³): 4.75

---

So which one is most stable? That would be model B, about 17.0 kJ/mol of atoms below the next structure.

---

Model A:
This record from Alexandria describes ScZn3Te after structural relaxation. The functional is PBE-GGA.

Lattice parameters (Å, degrees): 5.168 5.168 5.168 90.00 90.00 90.00
Fractional positions:
Te 0.000 0.000 0.000
Zn 0.500 0.000 0.000
Zn 0.000 0.500 0.000
Zn 0.000 0.000 0.500
Sc 0.500 0.500 0.500

Output
Calculated density (g cm⁻³): 4.44

---

Model B:
This record from Alexandria describes ScZn3Te after structural relaxation. The functional is PBE-GGA.

Lattice parameters (Å, degrees): 5.270 5.270 5.270 90.00 90.00 90.00
Fractional positions:
Sc 0.000 0.000 0.000
Zn 0.500 0.000 0.000
Zn 0.000 0.000 0.500
Zn 0.000 0.500 0.000
Te 0.500 0.500 0.500

Output
Calculated density (g cm⁻³): 4.18

---

So which one is most stable? That would be model B, about 4.8 kJ/mol of atoms below the next structure.

---

Model A:
This record from Alexandria describes ZrSc3Te after structural relaxation. The functional is PBE-GGA.

Lattice parameters (Å, degrees): 5.261 5.261 5.261 90.00 90.00 90.00
Fractional positions:
Zr 0.500 0.500 0.500
Te 0.000 0.000 0.000
Sc 0.500 0.000 0.000
Sc 0.000 0.000 0.500
Sc 0.000 0.500 0.000

Output
Calculated density (g cm⁻³): 4.03

---

Model B:
This record from Alexandria describes ZrSc3Te after structural relaxation. The functional is PBE-GGA.

Lattice parameters (Å, degrees): 5.211 5.211 5.211 90.00 90.00 90.00
Fractional positions:
Sc 0.500 0.000 0.000
Sc 0.000 0.500 0.000
Sc 0.000 0.000 0.500
Zr 0.000 0.000 0.000
Te 0.500 0.500 0.500

Output
Calculated density (g cm⁻³): 4.15

---

So which one is most stable? That would be model A, about 26.5 kJ/mol of atoms below the next structure.

---

Model A:
This record from Alexandria describes Zr3ScTe after structural relaxation. The functional is PBE-GGA.

Lattice parameters (Å, degrees): 5.278 5.278 5.278 90.00 90.00 90.00
Fractional positions:
Te 0.000 0.000 0.000
Zr 0.000 0.000 0.500
Zr 0.000 0.500 0.000
Zr 0.500 0.000 0.000
Sc 0.500 0.500 0.500

Output
Calculated density (g cm⁻³): 5.04

---

Model B:
This record from Alexandria describes Zr3ScTe after structural relaxation. The functional is PBE-GGA.

Lattice parameters (Å, degrees): 5.078 5.078 5.078 90.00 90.00 90.00
Fractional positions:
Te 0.500 0.500 0.500
Zr 0.000 0.000 0.500
Zr 0.000 0.500 0.000
Zr 0.500 0.000 0.000
Sc 0.000 0.000 0.000

Output
Calculated density (g cm⁻³): 5.66

---

So which one is most stable? That would be model A, about 46.7 kJ/mol of atoms below the next structure.

---

Model A:
This record from Alexandria describes Th6Sc5 after structural relaxation. The functional is PBE-GGA.

Lattice parameters (Å, degrees): 9.848 8.942 5.164 73.22 58.37 56.58
Fractional positions:
Sc 0.343 0.314 0.000
Sc 0.500 0.000 0.500
Sc 0.805 0.391 0.500
Sc 0.195 0.609 0.500
Sc 0.657 0.686 0.000
Th 0.788 0.000 0.712
Th 0.374 0.692 0.781
Th 0.626 0.308 0.219
Th 0.935 0.692 0.219
Th 0.212 0.000 0.288
Th 0.065 0.308 0.781

Output
Calculated density (g cm⁻³): 8.31

---

Model B:
This record from Alexandria describes Th6Sc5 after structural relaxation. The functional is PBE-GGA.

Lattice parameters (Å, degrees): 5.551 6.272 10.412 90.00 89.99 63.73
Fractional positions:
Sc 0.363 0.274 0.000
Sc 0.000 0.000 0.500
Sc 0.291 0.417 0.500
Sc 0.709 0.583 0.500
Sc 0.637 0.726 0.000
Th 0.500 0.000 0.706
Th 0.849 0.303 0.795
Th 0.500 0.000 0.294
Th 0.849 0.303 0.205
Th 0.151 0.697 0.205
Th 0.151 0.697 0.795

Output
Calculated density (g cm⁻³): 8.26

---

So which one is most stable? That would be model A, about 1.9 kJ/mol of atoms below the next structure.

---

Model A:
This record from Alexandria describes Th3Sc after structural relaxation. The functional is PBE-GGA.

Lattice parameters (Å, degrees): 3.571 3.571 9.532 90.00 90.00 90.00
Fractional positions:
Th 0.500 0.500 0.240
Th 0.000 0.000 0.500
Th 0.500 0.500 0.760
Sc 0.000 0.000 0.000

Output
Calculated density (g cm⁻³): 10.12

---

Model B:
This record from Alexandria describes Th3Sc after structural relaxation. The functional is PBE-GGA.

Lattice parameters (Å, degrees): 3.503 5.793 6.017 90.00 90.00 90.00
Fractional positions:
Sc 0.000 0.000 0.000
Th 0.500 0.000 0.495
Th 0.500 0.500 0.843
Th 0.000 0.500 0.328

Output
Calculated density (g cm⁻³): 10.08

---

So which one is most stable? That would be model A, about 3.8 kJ/mol of atoms below the next structure.